1.
Here is an optimized crystal structure of LaGeTe3 from the Alexandria database. Energies are from PBEsol.

a b c (Å): 5.345 5.345 5.345
angles (deg): 90.00 90.00 90.00
Fractional positions:
La (0.000, 0.000, 0.000)
Ge (0.500, 0.500, 0.500)
Te (0.000, 0.500, 0.500)
Te (0.500, 0.000, 0.500)
Te (0.500, 0.500, 0.000)

Values from the calculation:
The uncorrected formation energy comes out at -0.432 eV/atom. As for the space group: Pm-3m (221).

=====

2.
Here is an optimized crystal structure of Eu2NbInO6 from the Alexandria database. Energies are from PBEsol.

a b c (Å): 5.773 5.773 5.773
angles (deg): 60.00 60.00 60.00
Fractional positions:
Eu (0.250, 0.250, 0.250)
Eu (0.750, 0.750, 0.750)
Nb (0.000, 0.000, 0.000)
In (0.500, 0.500, 0.500)
O (0.243, 0.243, 0.757)
O (0.243, 0.757, 0.243)
O (0.243, 0.757, 0.757)
O (0.757, 0.243, 0.243)
O (0.757, 0.243, 0.757)
O (0.757, 0.757, 0.243)

Values from the calculation:
The uncorrected formation energy comes out at -2.493 eV/atom. As for the space group: Fm-3m (225).

=====

3.
Here is an optimized crystal structure of Mg3Tc2 from the Alexandria database. Energies are from PBEsol.

a b c (Å): 9.734 9.734 9.734
angles (deg): 162.02 162.02 25.53
Fractional positions:
Mg (0.000, 0.000, 0.000)
Mg (0.381, 0.381, 0.000)
Mg (0.619, 0.619, 0.000)
Tc (0.215, 0.215, 0.000)
Tc (0.785, 0.785, 0.000)

Values from the calculation:
The value obtained for the formation energy from the elements is 0.027 eV/atom. The energy above the lowest structure with this stoichiometry comes out at 0 meV per atom. As for the space group: I4/mmm (139).

=====

4.
Here is an optimized crystal structure of Gd from the Alexandria database. Energies are from PBEsol.

a b c (Å): 3.408 3.408 3.408
angles (deg): 109.47 109.47 109.47
Fractional positions:
Gd (0.000, 0.000, 0.000)

Values from the calculation:
The value obtained for the formation energy from the elements is 0.087 eV/atom. The energy above the lowest structure with this stoichiometry comes out at 87 meV per atom. As for the space group: Im-3m (229).

=====

5.
Here is an optimized crystal structure of ZrPt3F from the Alexandria database. Energies are from PBEsol.

a b c (Å): 4.326 4.326 4.326
angles (deg): 90.00 90.00 90.00
Fractional positions:
Zr (0.000, 0.000, 0.000)
Pt (0.000, 0.500, 0.500)
Pt (0.500, 0.000, 0.500)
Pt (0.500, 0.500, 0.000)
F (0.500, 0.500, 0.500)

Values from the calculation:
The uncorrected formation energy comes out at 0.105 eV/atom. As for the space group: Pm-3m (221).

=====

6.
Here is an optimized crystal structure of ZrRuAu2 from the Alexandria database. Energies are from PBEsol.

a b c (Å): 4.947 4.947 4.947
angles (deg): 131.51 131.51 71.00
Fractional positions:
Zr (0.000, 0.000, 0.000)
Ru (0.750, 0.250, 0.500)
Au (0.250, 0.750, 0.500)
Au (0.500, 0.500, 0.000)

Values from the calculation:
The value obtained for the formation energy from the elements is -0.349 eV/atom. The energy above the lowest structure with this stoichiometry comes out at 72 meV per atom. As for the space group: I-4m2 (119).

=====

7.
Here is an optimized crystal structure of LiCa2Mg from the Alexandria database. Energies are from PBEsol.

a b c (Å): 3.796 3.796 8.343
angles (deg): 90.00 90.00 90.00
Fractional positions:
Li (0.000, 0.000, 0.000)
Ca (0.000, 0.000, 0.418)
Ca (0.500, 0.500, 0.749)
Mg (0.500, 0.500, 0.165)

Values from the calculation:
The value obtained for the formation energy from the elements is -0.033 eV/atom. As for the space group: P4mm (99).

=====

8.
Here is an optimized crystal structure of HgPt2Rh from the Alexandria database. Energies are from PBEsol.

a b c (Å): 2.822 2.822 7.888
angles (deg): 90.00 90.00 90.00
Fractional positions:
Hg (0.000, 0.000, 0.000)
Pt (0.000, 0.000, 0.514)
Pt (0.500, 0.500, 0.271)
Rh (0.500, 0.500, 0.739)

Values from the calculation:
The value obtained for the formation energy from the elements is 0.076 eV/atom. As for the space group: P4mm (99).

=====

9.
Here is an optimized crystal structure of Te6IrBr3 from the Alexandria database. Energies are from PBEsol.

a b c (Å): 9.580 9.580 9.580
angles (deg): 108.58 108.58 108.58
Fractional positions:
Te (0.068, 0.829, 0.816)
Te (0.171, 0.184, 0.932)
Te (0.184, 0.932, 0.171)
Te (0.316, 0.329, 0.568)
Te (0.329, 0.568, 0.316)
Te (0.432, 0.684, 0.671)
Te (0.568, 0.316, 0.329)
Te (0.671, 0.432, 0.684)
Te (0.684, 0.671, 0.432)
Te (0.816, 0.068, 0.829)
Te (0.829, 0.816, 0.068)
Te (0.932, 0.171, 0.184)
Ir (0.250, 0.250, 0.250)
Ir (0.750, 0.750, 0.750)
Br (0.011, 0.489, 0.750)
Br (0.250, 0.989, 0.511)
Br (0.489, 0.750, 0.011)
Br (0.511, 0.250, 0.989)
Br (0.750, 0.011, 0.489)
Br (0.989, 0.511, 0.250)

Values from the calculation:
The uncorrected formation energy comes out at -0.274 eV/atom. As for the space group: R-3c (167).

=====

10.
Here is an optimized crystal structure of Mg2AlCl from the Alexandria database. Energies are from PBEsol.

a b c (Å): 5.068 5.068 5.068
angles (deg): 60.00 60.00 60.00
Fractional positions:
Mg (0.000, 0.000, 0.000)
Mg (0.250, 0.250, 0.250)
Al (0.750, 0.750, 0.750)
Cl (0.500, 0.500, 0.500)

Values from the calculation:
The uncorrected formation energy comes out at 0.073 eV/atom. The energy above the lowest structure with this stoichiometry comes out at 513 meV per atom. As for the space group: F-43m (216).

=====

11.
Here is an optimized crystal structure of GaN3Cl from the Alexandria database. Energies are from PBEsol.

a b c (Å): 3.692 3.692 3.692
angles (deg): 90.00 90.00 90.00
Fractional positions:
Ga (0.000, 0.000, 0.000)
N (0.000, 0.500, 0.500)
N (0.500, 0.000, 0.500)
N (0.500, 0.500, 0.000)
Cl (0.500, 0.500, 0.500)

Values from the calculation:
The uncorrected formation energy comes out at 2.325 eV/atom. As for the space group: Pm-3m (221).

=====

12.
Here is an optimized crystal structure of Zr2ZnFe from the Alexandria database. Energies are from PBEsol.

a b c (Å): 3.201 3.201 6.499
angles (deg): 90.00 90.00 90.00
Fractional positions:
Zr (0.000, 0.000, 0.234)
Zr (0.000, 0.000, 0.766)
Zn (0.500, 0.500, 0.500)
Fe (0.500, 0.500, 0.000)

Values from the calculation:
The value obtained for the formation energy from the elements is -0.233 eV/atom. As for the space group: P4/mmm (123).

=====

| no. | calculated total energy (Ha/atom) |
| --- | --- |
| 1 | -0.1692 |
| 2 | -0.3357 |
| 3 | -0.2025 |
| 4 | -0.5278 |
| 5 | -0.2307 |
| 6 | -0.2619 |
| 7 | -0.0742 |
| 8 | -0.2051 |
| 9 | -0.1445 |
| 10 | -0.0849 |
| 11 | -0.1419 |
| 12 | -0.2725 |